Computed, not measured: a relaxed structure of CsK2MoF6 at the PBE+U level of DFT.

Lattice parameters (Å, degrees): 6.443 6.929 11.176 90.00 124.14 90.00
Space group P2_1/c (No. 14)
One atom of each set of equivalent atoms:
Cs (0.000, 0.000, 0.000) [2 per cell]
K (0.219, 0.029, 0.725) [4 per cell]
Mo (0.500, 0.000, 0.500) [2 per cell]
F (0.197, 0.148, 0.479) [4 per cell]
F (0.245, 0.729, 0.885) [4 per cell]
F (0.426, 0.121, 0.306) [4 per cell]

* theoretical density: 3.4 g cm⁻³
* energy above the most stable polymorph in this dataset: 0 meV per atom
* electronic total energy: -4.904 eV/atom